# 1
Compound: ScZn
Source: Alexandria via LeMat-Bulk
Functional: SCAN
Structure: PBEsol geometry

- total energy (eV/atom) = -14.357
- symmetry = Pm-3m, No. 221

```
data_ScZn
_cell_length_a 3.2991
_cell_length_b 3.2991
_cell_length_c 3.2991
_cell_angle_alpha 90.00
_cell_angle_beta 90.00
_cell_angle_gamma 90.00
_symmetry_space_group_name_H-M 'P 1'
_symmetry_Int_Tables_number 1
loop_
_symmetry_equiv_pos_as_xyz
'x,y,z'
loop_
_atom_site_label
_atom_site_fract_x
_atom_site_fract_y
_atom_site_fract_z
_atom_site_occupancy
Sc1 0.0000 0.0000 0.0000 1
Zn1 0.5000 0.5000 0.5000 1
```

=====

# 2
Compound: BaHg2Bi2
Source: Alexandria via LeMat-Bulk
Functional: SCAN
Structure: PBEsol geometry

- energy above the lowest structure with this stoichiometry (meV per atom) = 0
- symmetry = I4/mmm, No. 139

```
data_BaHg2Bi2
_cell_length_a 7.4606
_cell_length_b 7.4606
_cell_length_c 7.4606
_cell_angle_alpha 141.04
_cell_angle_beta 141.04
_cell_angle_gamma 56.28
_symmetry_space_group_name_H-M 'P 1'
_symmetry_Int_Tables_number 1
loop_
_symmetry_equiv_pos_as_xyz
'x,y,z'
loop_
_atom_site_label
_atom_site_fract_x
_atom_site_fract_y
_atom_site_fract_z
_atom_site_occupancy
Ba1 0.0000 0.0000 0.0000 1
Hg1 0.2500 0.7500 0.5000 1
Hg2 0.7500 0.2500 0.5000 1
Bi1 0.3809 0.3809 0.0000 1
Bi2 0.6191 0.6191 0.0000 1
```

=====

# 3
Compound: CaCdPb
Source: Alexandria via LeMat-Bulk
Functional: SCAN
Structure: PBEsol geometry

- total energy (eV/atom) = -39.187
- symmetry = P-62m, No. 189

```
data_CaCdPb
_cell_length_a 7.6819
_cell_length_b 7.6819
_cell_length_c 4.7149
_cell_angle_alpha 90.00
_cell_angle_beta 90.00
_cell_angle_gamma 120.00
_symmetry_space_group_name_H-M 'P 1'
_symmetry_Int_Tables_number 1
loop_
_symmetry_equiv_pos_as_xyz
'x,y,z'
loop_
_atom_site_label
_atom_site_fract_x
_atom_site_fract_y
_atom_site_fract_z
_atom_site_occupancy
Ca1 0.0000 0.5713 0.0000 1
Ca2 0.4287 0.4287 0.0000 1
Ca3 0.5713 0.0000 0.0000 1
Cd1 0.0000 0.2482 0.5000 1
Cd2 0.2482 0.0000 0.5000 1
Cd3 0.7518 0.7518 0.5000 1
Pb1 0.0000 0.0000 0.0000 1
Pb2 0.3333 0.6667 0.5000 1
Pb3 0.6667 0.3333 0.5000 1
```

=====

# 4
Compound: RbSb2Pb2
Source: Alexandria via LeMat-Bulk
Functional: SCAN
Structure: PBEsol geometry

- formation energy (no corrections) (eV per atom) = -0.13
- energy above the lowest structure with this stoichiometry (meV per atom) = 56
- symmetry = P4/mbm, No. 127

```
data_RbSb2Pb2
_cell_length_a 9.1044
_cell_length_b 9.1044
_cell_length_c 3.9046
_cell_angle_alpha 90.00
_cell_angle_beta 90.00
_cell_angle_gamma 90.00
_symmetry_space_group_name_H-M 'P 1'
_symmetry_Int_Tables_number 1
loop_
_symmetry_equiv_pos_as_xyz
'x,y,z'
loop_
_atom_site_label
_atom_site_fract_x
_atom_site_fract_y
_atom_site_fract_z
_atom_site_occupancy
Rb1 0.0000 0.0000 0.0000 1
Rb2 0.5000 0.5000 0.0000 1
Sb1 0.1548 0.3452 0.5000 1
Sb2 0.3452 0.8452 0.5000 1
Sb3 0.6548 0.1548 0.5000 1
Sb4 0.8452 0.6548 0.5000 1
Pb1 0.1281 0.6281 0.0000 1
Pb2 0.3719 0.1281 0.0000 1
Pb3 0.6281 0.8719 0.0000 1
Pb4 0.8719 0.3719 0.0000 1
```

=====

# 5
Compound: YTaTl2
Source: Alexandria via LeMat-Bulk
Functional: SCAN
Structure: PBEsol geometry

- total energy (eV/atom) = -59.467
- symmetry = Pmm2, No. 25

```
data_YTaTl2
_cell_length_a 3.4530
_cell_length_b 4.2198
_cell_length_c 6.3623
_cell_angle_alpha 90.00
_cell_angle_beta 90.00
_cell_angle_gamma 90.00
_symmetry_space_group_name_H-M 'P 1'
_symmetry_Int_Tables_number 1
loop_
_symmetry_equiv_pos_as_xyz
'x,y,z'
loop_
_atom_site_label
_atom_site_fract_x
_atom_site_fract_y
_atom_site_fract_z
_atom_site_occupancy
Y1 0.0000 0.0000 0.0000 1
Ta1 0.5000 0.5000 0.2519 1
Tl1 0.0000 0.0000 0.4776 1
Tl2 0.5000 0.5000 0.7358 1
```

=====

# 6
Compound: Cr2PN2
Source: Alexandria via LeMat-Bulk
Functional: SCAN
Structure: PBEsol geometry

- formation energy (no corrections) (eV per atom) = 0.08
- symmetry = I4/mmm, No. 139

```
data_Cr2PN2
_cell_length_a 4.5209
_cell_length_b 4.5209
_cell_length_c 4.5209
_cell_angle_alpha 132.33
_cell_angle_beta 132.33
_cell_angle_gamma 69.71
_symmetry_space_group_name_H-M 'P 1'
_symmetry_Int_Tables_number 1
loop_
_symmetry_equiv_pos_as_xyz
'x,y,z'
loop_
_atom_site_label
_atom_site_fract_x
_atom_site_fract_y
_atom_site_fract_z
_atom_site_occupancy
Cr1 0.2500 0.7500 0.5000 1
Cr2 0.7500 0.2500 0.5000 1
P1 0.0000 0.0000 0.0000 1
N1 0.3324 0.3324 0.0000 1
N2 0.6676 0.6676 0.0000 1
```

=====

# 7
Compound: KScIrPt2
Source: Alexandria via LeMat-Bulk
Functional: SCAN
Structure: PBEsol geometry

- total energy (eV/atom) = -45.942
- symmetry = P4/mmm, No. 123

```
data_KScIrPt2
_cell_length_a 4.8508
_cell_length_b 4.8508
_cell_length_c 5.1350
_cell_angle_alpha 90.00
_cell_angle_beta 90.00
_cell_angle_gamma 90.00
_symmetry_space_group_name_H-M 'P 1'
_symmetry_Int_Tables_number 1
loop_
_symmetry_equiv_pos_as_xyz
'x,y,z'
loop_
_atom_site_label
_atom_site_fract_x
_atom_site_fract_y
_atom_site_fract_z
_atom_site_occupancy
K1 0.0000 0.0000 0.0000 1
Sc1 0.5000 0.5000 0.0000 1
Ir1 0.0000 0.0000 0.5000 1
Pt1 0.0000 0.5000 0.5000 1
Pt2 0.5000 0.0000 0.5000 1
```

=====

# 8
Compound: TaTi2Ge2
Source: Alexandria via LeMat-Bulk
Functional: SCAN
Structure: PBEsol geometry

- total energy (eV/atom) = -28.043
- symmetry = P4/mbm, No. 127

```
data_TaTi2Ge2
_cell_length_a 6.7758
_cell_length_b 6.7758
_cell_length_c 3.4155
_cell_angle_alpha 90.00
_cell_angle_beta 90.00
_cell_angle_gamma 90.00
_symmetry_space_group_name_H-M 'P 1'
_symmetry_Int_Tables_number 1
loop_
_symmetry_equiv_pos_as_xyz
'x,y,z'
loop_
_atom_site_label
_atom_site_fract_x
_atom_site_fract_y
_atom_site_fract_z
_atom_site_occupancy
Ta1 0.0000 0.0000 0.0000 1
Ta2 0.5000 0.5000 0.0000 1
Ti1 0.1704 0.3296 0.5000 1
Ti2 0.3296 0.8296 0.5000 1
Ti3 0.6704 0.1704 0.5000 1
Ti4 0.8296 0.6704 0.5000 1
Ge1 0.1314 0.6314 0.0000 1
Ge2 0.3686 0.1314 0.0000 1
Ge3 0.6314 0.8686 0.0000 1
Ge4 0.8686 0.3686 0.0000 1
```

=====

# 9
Compound: Cd2WBr
Source: Alexandria via LeMat-Bulk
Functional: SCAN
Structure: PBEsol geometry

- formation energy (no corrections) (eV per atom) = 0.79
- energy above the lowest structure with this stoichiometry (meV per atom) = 165
- symmetry = Immm, No. 71

```
data_Cd2WBr
_cell_length_a 7.1962
_cell_length_b 7.1962
_cell_length_c 7.1962
_cell_angle_alpha 157.13
_cell_angle_beta 144.20
_cell_angle_gamma 42.91
_symmetry_space_group_name_H-M 'P 1'
_symmetry_Int_Tables_number 1
loop_
_symmetry_equiv_pos_as_xyz
'x,y,z'
loop_
_atom_site_label
_atom_site_fract_x
_atom_site_fract_y
_atom_site_fract_z
_atom_site_occupancy
Cd1 0.1938 0.1938 0.0000 1
Cd2 0.8062 0.8062 0.0000 1
W1 0.0000 0.5000 0.5000 1
Br1 0.5000 0.0000 0.5000 1
```

=====

# 10
Compound: MgOsW2
Source: Alexandria via LeMat-Bulk
Functional: SCAN
Structure: PBEsol geometry

- total energy (eV/atom) = -53.755
- symmetry = C2/m, No. 12

```
data_MgOsW2
_cell_length_a 5.1753
_cell_length_b 5.1753
_cell_length_c 2.7121
_cell_angle_alpha 98.51
_cell_angle_beta 98.51
_cell_angle_gamma 118.21
_symmetry_space_group_name_H-M 'P 1'
_symmetry_Int_Tables_number 1
loop_
_symmetry_equiv_pos_as_xyz
'x,y,z'
loop_
_atom_site_label
_atom_site_fract_x
_atom_site_fract_y
_atom_site_fract_z
_atom_site_occupancy
Mg1 0.0000 0.0000 0.0000 1
Os1 0.5000 0.5000 0.0000 1
W1 0.0000 0.5000 0.5000 1
W2 0.5000 0.0000 0.5000 1
```

=====

# 11
Compound: CaSc3Mo
Source: Alexandria via LeMat-Bulk
Functional: SCAN
Structure: PBEsol geometry

- total energy (eV/atom) = -17.160
- symmetry = Pm-3m, No. 221

```
data_CaSc3Mo
_cell_length_a 5.0837
_cell_length_b 5.0837
_cell_length_c 5.0837
_cell_angle_alpha 90.00
_cell_angle_beta 90.00
_cell_angle_gamma 90.00
_symmetry_space_group_name_H-M 'P 1'
_symmetry_Int_Tables_number 1
loop_
_symmetry_equiv_pos_as_xyz
'x,y,z'
loop_
_atom_site_label
_atom_site_fract_x
_atom_site_fract_y
_atom_site_fract_z
_atom_site_occupancy
Ca1 0.0000 0.0000 0.0000 1
Sc1 0.0000 0.5000 0.5000 1
Sc2 0.5000 0.0000 0.5000 1
Sc3 0.5000 0.5000 0.0000 1
Mo1 0.5000 0.5000 0.5000 1
```

=====

# 12
Compound: FeNi2Rh
Source: Alexandria via LeMat-Bulk
Functional: SCAN
Structure: PBEsol geometry

- total energy (eV/atom) = -21.138
- symmetry = P4mm, No. 99

```
data_FeNi2Rh
_cell_length_a 2.9568
_cell_length_b 2.9568
_cell_length_c 5.3125
_cell_angle_alpha 90.00
_cell_angle_beta 90.00
_cell_angle_gamma 90.00
_symmetry_space_group_name_H-M 'P 1'
_symmetry_Int_Tables_number 1
loop_
_symmetry_equiv_pos_as_xyz
'x,y,z'
loop_
_atom_site_label
_atom_site_fract_x
_atom_site_fract_y
_atom_site_fract_z
_atom_site_occupancy
Fe1 0.0000 0.0000 0.0000 1
Ni1 0.0000 0.0000 0.4578 1
Ni2 0.5000 0.5000 0.2322 1
Rh1 0.5000 0.5000 0.7274 1
```

=====

| no. | M_tot (μB per atom) | density of states at the Fermi level (states/eV per atom) |
| --- | --- | --- |
| 1 | 0.00 | 0.710 |
| 2 | 0.00 | 0.458 |
| 3 | 0.00 | 0.158 |
| 4 | 0.00 | 0.423 |
| 5 | 0.00 | 0.655 |
| 6 | 0.45 | 0.471 |
| 7 | 0.03 | 1.093 |
| 8 | 0.00 | 0.437 |
| 9 | 0.24 | 0.475 |
| 10 | 0.00 | 0.843 |
| 11 | 0.03 | 0.908 |
| 12 | 1.36 | 0.519 |